Below is an optimized crystal structure of Cs2Y4Rh, with properties calculated at the PBE level.

Results
- ΔH_f (0 K): 0.2114 eV/atom
- Spin magnetization: 0.00 μB/f.u.

abc: 5.566 5.566 11.930
angles: 76.51 76.51 90.00
Sites, in units of the cell vectors:
Y (0.500, 0.000, 0.000)
Y (0.114, 0.114, 0.772)
Y (0.000, 0.500, 0.000)
Y (0.886, 0.886, 0.228)
Cs (0.680, 0.680, 0.640)
Cs (0.320, 0.320, 0.360)
Rh (0.000, 0.000, 0.000)

Below is an optimized crystal structure of ZrNb4Te8, with properties calculated at the PBE level.

Results
- E_form (uncorrected): -0.369 eV/atom
- Spin magnetization: 0.00 μB/f.u.

abc: 7.646 7.646 8.205
angles: 90.00 117.77 120.00
Sites, in units of the cell vectors:
Nb (0.500, 0.500, 0.000)
Nb (0.000, 0.500, 0.000)
Nb (0.500, 0.000, 0.000)
Nb (0.000, 0.000, 0.000)
Te (0.495, 0.248, 0.743)
Te (0.508, 0.754, 0.741)
Te (0.013, 0.766, 0.259)
Te (0.987, 0.234, 0.741)
Te (0.505, 0.752, 0.257)
Te (0.013, 0.246, 0.259)
Te (0.492, 0.246, 0.259)
Te (0.987, 0.754, 0.741)
Zr (0.000, 0.500, 0.500)

Below is an optimized crystal structure of TeIrPdN2, with properties calculated at the PBE level.

Results
- Excess energy over the best structure of this formula in the dataset: 0 meV/atom
- E_form (uncorrected): 0.730 eV/atom
- Spin magnetization: 0.32 μB/f.u.

abc: 3.783 3.783 6.067
angles: 90.00 90.00 90.00
Sites, in units of the cell vectors:
Te (0.000, 0.000, 0.500)
N (0.000, 0.500, 0.000)
N (0.500, 0.000, 0.000)
Ir (0.000, 0.000, 0.000)
Pd (0.500, 0.500, 0.500)

Below is an optimized crystal structure of PmYAlRh, with properties calculated at the PBE level.

Results
- ΔH_f (0 K): -0.4940 eV/atom
- Spin magnetization: 0.00 μB/f.u.

abc: 5.065 5.065 5.065
angles: 60.00 60.00 60.00
Sites, in units of the cell vectors:
Rh (0.000, 0.000, 0.000)
Pm (0.250, 0.250, 0.250)
Y (0.750, 0.750, 0.750)
Al (0.500, 0.500, 0.500)

Please write out number 1 again, unchanged.
Below is an optimized crystal structure of Cs2Y4Rh, with properties calculated at the PBE level.

Results
- ΔH_f (0 K): 0.2114 eV/atom
- Spin magnetization: 0.00 μB/f.u.

abc: 5.566 5.566 11.930
angles: 76.51 76.51 90.00
Sites, in units of the cell vectors:
Y (0.500, 0.000, 0.000)
Y (0.114, 0.114, 0.772)
Y (0.000, 0.500, 0.000)
Y (0.886, 0.886, 0.228)
Cs (0.680, 0.680, 0.640)
Cs (0.320, 0.320, 0.360)
Rh (0.000, 0.000, 0.000)

- Which of these has the highest spin magnetization?
  TeIrPdN2